NiAgBiF6: relaxed, PBE+U.

a = 5.8352 Å, b = 5.8352 Å, c = 9.7599 Å
α = 90.00°, β = 90.00°, γ = 120.00°
Space group P-31c (No. 163)
Unique sites:
1 Ni 0.3333 0.6667 0.2500
2 Ag 0.0000 0.0000 0.0000
3 Bi 0.3333 0.6667 0.7500
4 F 0.0322 0.3806 0.1366

Electronic total energy   -0.314 Ry per atom
Crystal system   trigonal